[1]
DFT (PBE) results for a relaxed Na3In3Pb2 crystal.

Lattice parameters (Å, degrees): 9.826 9.826 4.876 104.36 104.36 29.37
Fractional positions:
Na 0.000 0.000 0.000
Na 0.124 0.124 0.623
Na 0.876 0.876 0.377
In 0.374 0.374 0.874
In 0.500 0.500 0.500
In 0.626 0.626 0.126
Pb 0.249 0.249 0.248
Pb 0.751 0.751 0.752

Results
- Fermi-level density of states: 3.3 states/eV/cell
- Energy relative to the elements: -0.098 eV/atom
- SG: C2/m
- ΔE to the lowest computed polymorph: 0 meV/atom
- M_tot: 0.0 Bohr magnetons per cell



[2]
DFT (PBE) results for a relaxed Na2InPb crystal.

Lattice parameters (Å, degrees): 3.692 3.692 8.148 90.00 90.00 90.00
Fractional positions:
Na 0.000 0.000 0.249
Na 0.000 0.000 0.751
In 0.500 0.500 0.000
Pb 0.500 0.500 0.500

Results
- Fermi-level density of states: 1.5 states/eV/cell
- Energy relative to the elements: -0.097 eV/atom
- SG: P4/mmm
- ΔE to the lowest computed polymorph: 21 meV/atom
- M_tot: 0.0 Bohr magnetons per cell



[3]
DFT (PBE) results for a relaxed Na8InPb6 crystal.

Lattice parameters (Å, degrees): 8.437 8.437 8.437 65.20 65.20 65.20
Fractional positions:
Na 0.097 0.097 0.097
Na 0.145 0.633 0.335
Na 0.335 0.145 0.633
Na 0.367 0.665 0.855
Na 0.633 0.335 0.145
Na 0.665 0.855 0.367
Na 0.855 0.367 0.665
Na 0.903 0.903 0.903
In 0.500 0.500 0.500
Pb 0.086 0.517 0.783
Pb 0.217 0.914 0.483
Pb 0.483 0.217 0.914
Pb 0.517 0.783 0.086
Pb 0.783 0.086 0.517
Pb 0.914 0.483 0.217

Results
- Fermi-level density of states: 8.1 states/eV/cell
- Energy relative to the elements: -0.078 eV/atom
- SG: R-3
- M_tot: 0.0 Bohr magnetons per cell



[4]
DFT (PBE) results for a relaxed Na2In8Pb crystal.

Lattice parameters (Å, degrees): 9.387 9.387 5.156 104.15 104.15 125.76
Fractional positions:
Na 0.174 0.826 0.000
Na 0.826 0.174 0.000
In 0.110 0.110 0.852
In 0.138 0.428 0.777
In 0.294 0.706 0.500
In 0.428 0.138 0.777
In 0.572 0.862 0.223
In 0.706 0.294 0.500
In 0.862 0.572 0.223
In 0.890 0.890 0.148
Pb 0.500 0.500 0.500

Results
- Fermi-level density of states: 4.0 states/eV/cell
- Energy relative to the elements: 0.002 eV/atom
- SG: C2/m
- M_tot: 0.0 Bohr magnetons per cell